Material: CaH2NCl
Method: DFT, PBE
State: relaxed

Cell: 3.5955 10.5089 6.9213 Å, 90.00 90.00 90.00°
Closest atoms and distances in Å follow each position.
Space group Cmcm (No. 63)
One atom of each set of equivalent atoms:
Ca 0.0000 0.0638 0.2500 (multiplicity 4)  4 N 2.58, 8 H 2.77-2.78, 2 Cl 2.88
H 0.0000 0.4108 0.0533 (multiplicity 8)  1 N 1.01
N 0.0000 0.5000 0.0000 (multiplicity 4)  2 H 1.01
Cl 0.0000 0.2218 0.7500 (multiplicity 4)  6 H 2.65-2.89, 2 Ca 2.88

Output
Its electronic total energy is -4.718 eV per atom. The volume is 13.08 A^3/atom.